AcGaAgAu6 after structural relaxation, computed with PBE-GGA.

Properties
For the density, the calculation gives 13.3 Mg/m³. The total energy is -63.13 eV per cell. As for the crystal system: orthorhombic. Its formation energy is -212.8 meV per atom.

The structure in POSCAR format:
```
AcGaAgAu6
1.0
-3.752 4.808 5.498
3.752 -4.808 5.498
3.752 4.808 -5.498
Ac Ga Ag Au
2 2 2 12
direct
0.471 0.221 0.250
0.529 0.779 0.750
0.000 0.000 0.000
0.500 0.000 0.500
0.000 0.000 0.500
0.000 0.500 0.000
0.136 0.431 0.313
0.136 0.823 0.705
0.183 0.933 0.250
0.222 0.472 0.750
0.382 0.177 0.813
0.382 0.569 0.205
0.618 0.431 0.795
0.618 0.823 0.187
0.778 0.528 0.250
0.817 0.067 0.750
0.864 0.177 0.295
0.864 0.569 0.687
```

***

Ac3AgGe2Au6 after structural relaxation, computed with PBE-GGA.

Properties
For the density, the calculation gives 11.3 Mg/m³. The total energy is -49.80 eV per cell. As for the crystal system: trigonal. Its formation energy is -476.6 meV per atom.

The structure in POSCAR format:
```
Ac3AgGe2Au6
1.0
6.513 0.000 0.000
-3.257 5.641 0.000
0.000 0.000 8.485
Ac Ag Ge Au
3 1 2 6
direct
0.000 0.000 0.000
0.333 0.667 0.647
0.667 0.333 0.353
0.000 0.000 0.500
0.333 0.667 0.050
0.667 0.333 0.950
0.181 0.362 0.285
0.181 0.819 0.285
0.362 0.181 0.715
0.638 0.819 0.285
0.819 0.181 0.715
0.819 0.638 0.715
```

***

Ac2AgHgAu after structural relaxation, computed with PBE-GGA.

Properties
For the density, the calculation gives 10.8 Mg/m³. The total energy is -34.38 eV per cell. As for the crystal system: monoclinic. Its formation energy is -509.0 meV per atom.

The structure in POSCAR format:
```
Ac2AgHgAu
1.0
7.938 0.000 0.000
0.000 4.943 0.000
-2.607 0.000 7.520
Ac Ag Hg Au
4 2 2 2
direct
0.050 0.250 0.197
0.358 0.750 0.639
0.642 0.250 0.361
0.950 0.750 0.803
0.332 0.250 0.950
0.668 0.750 0.050
0.340 0.750 0.176
0.660 0.250 0.824
0.074 0.250 0.602
0.926 0.750 0.398
```

***

AcAgHgAu after structural relaxation, computed with PBE-GGA.

Properties
For the density, the calculation gives 11.9 Mg/m³. The total energy is -12.21 eV per cell. As for the crystal system: cubic. Its formation energy is -418.4 meV per atom.

The structure in POSCAR format:
```
AcAgHgAu
1.0
0.000 3.715 3.715
3.715 0.000 3.715
3.715 3.715 0.000
Ac Ag Hg Au
1 1 1 1
direct
0.000 0.000 0.000
0.500 0.500 0.500
0.250 0.250 0.250
0.750 0.750 0.750
```

***

AcInAgAu6 after structural relaxation, computed with PBE-GGA.

Properties
For the density, the calculation gives 12.4 Mg/m³. The total energy is -61.44 eV per cell. As for the crystal system: orthorhombic. Its formation energy is -150.7 meV per atom.

The structure in POSCAR format:
```
AcInAgAu6
1.0
-2.776 4.879 8.041
2.776 -4.879 8.041
2.776 4.879 -8.041
Ac In Ag Au
2 2 2 12
direct
0.337 0.087 0.250
0.663 0.913 0.750
0.000 0.500 0.500
0.500 0.500 0.000
0.000 0.000 0.500
0.000 0.500 0.000
0.147 0.409 0.245
0.147 0.902 0.738
0.150 0.900 0.250
0.336 0.098 0.745
0.336 0.591 0.238
0.450 0.700 0.750
0.550 0.300 0.250
0.664 0.409 0.762
0.664 0.902 0.255
0.850 0.100 0.750
0.853 0.098 0.262
0.853 0.591 0.755
```

***

Ac2In4Ag3Au after structural relaxation, computed with PBE-GGA.

Properties
For the density, the calculation gives 9.2 Mg/m³. The total energy is -34.78 eV per cell. As for the crystal system: tetragonal. Its formation energy is -378.0 meV per atom.

The structure in POSCAR format:
```
Ac2In4Ag3Au
1.0
4.770 0.000 0.000
0.000 4.770 0.000
0.000 0.000 11.415
Ac In Ag Au
2 4 3 1
direct
0.000 0.500 0.238
0.500 0.000 0.762
0.000 0.000 0.500
0.000 0.500 0.872
0.500 0.000 0.128
0.500 0.500 0.500
0.000 0.000 0.000
0.000 0.500 0.635
0.500 0.000 0.365
0.500 0.500 0.000
```

***

Ac2In4AgAu3 after structural relaxation, computed with PBE-GGA.

Properties
For the density, the calculation gives 10.4 Mg/m³. The total energy is -37.07 eV per cell. As for the crystal system: tetragonal. Its formation energy is -522.1 meV per atom.

The structure in POSCAR format:
```
Ac2In4AgAu3
1.0
4.760 0.000 0.000
0.000 4.760 0.000
0.000 0.000 11.341
Ac In Ag Au
2 4 1 3
direct
0.000 0.500 0.244
0.500 0.000 0.756
0.000 0.000 0.500
0.000 0.500 0.873
0.500 0.000 0.127
0.500 0.500 0.500
0.500 0.500 0.000
0.000 0.000 0.000
0.000 0.500 0.635
0.500 0.000 0.365
```

***

Ac2InAgAu6 after structural relaxation, computed with PBE-GGA.

Properties
For the density, the calculation gives 12.2 Mg/m³. The total energy is -38.03 eV per cell. As for the crystal system: triclinic. Its formation energy is -456.1 meV per atom.

The structure in POSCAR format:
```
Ac2InAgAu6
1.0
5.504 0.000 0.000
2.750 6.508 0.000
2.743 0.034 7.049
Ac In Ag Au
2 1 1 6
direct
0.027 0.238 0.207
0.973 0.762 0.793
0.500 0.000 0.500
0.500 0.500 0.000
0.001 0.224 0.774
0.332 0.426 0.411
0.500 0.224 0.775
0.500 0.776 0.225
0.668 0.574 0.589
0.999 0.776 0.226
```

***

AcInAg2Au4 after structural relaxation, computed with PBE-GGA.

Properties
For the density, the calculation gives 12.5 Mg/m³. The total energy is -28.29 eV per cell. As for the crystal system: trigonal. Its formation energy is -329.0 meV per atom.

The structure in POSCAR format:
```
AcInAg2Au4
1.0
2.382 1.375 9.100
-2.382 1.375 9.100
0.000 -2.750 9.100
Ac In Ag Au
1 1 2 4
direct
0.000 0.000 0.000
0.500 0.500 0.500
0.240 0.240 0.240
0.760 0.760 0.760
0.126 0.126 0.126
0.396 0.396 0.396
0.604 0.604 0.604
0.874 0.874 0.874
```

***

Ac2In6AgAu after structural relaxation, computed with PBE-GGA.

Properties
For the density, the calculation gives 8.4 Mg/m³. The total energy is -66.20 eV per cell. As for the crystal system: trigonal. Its formation energy is -232.5 meV per atom.

The structure in POSCAR format:
```
Ac2In6AgAu
1.0
3.571 2.062 12.932
-3.571 2.062 12.932
0.000 -4.123 12.932
Ac In Ag Au
4 12 2 2
direct
0.110 0.110 0.110
0.286 0.286 0.286
0.714 0.714 0.714
0.890 0.890 0.890
0.072 0.662 0.662
0.226 0.226 0.661
0.226 0.661 0.226
0.338 0.338 0.928
0.338 0.928 0.338
0.339 0.774 0.774
0.661 0.226 0.226
0.662 0.072 0.662
0.662 0.662 0.072
0.774 0.339 0.774
0.774 0.774 0.339
0.928 0.338 0.338
0.000 0.000 0.000
0.500 0.500 0.500
0.428 0.428 0.428
0.572 0.572 0.572
```

***

AcInAgAu after structural relaxation, computed with PBE-GGA.

Properties
For the density, the calculation gives 10.5 Mg/m³. The total energy is -14.85 eV per cell. As for the crystal system: cubic. Its formation energy is -467.9 meV per atom.

The structure in POSCAR format:
```
AcInAgAu
1.0
0.000 3.710 3.710
3.710 0.000 3.710
3.710 3.710 0.000
Ac In Ag Au
1 1 1 1
direct
0.000 0.000 0.000
0.500 0.500 0.500
0.750 0.750 0.750
0.250 0.250 0.250
```

***

AcIn2Ag2Au after structural relaxation, computed with PBE-GGA.

Properties
For the density, the calculation gives 8.4 Mg/m³. The total energy is -18.51 eV per cell. As for the crystal system: tetragonal. Its formation energy is 9.0 meV per atom.

The structure in POSCAR format:
```
AcIn2Ag2Au
1.0
-2.674 2.674 6.029
2.674 -2.674 6.029
2.674 2.674 -6.029
Ac In Ag Au
1 2 2 1
direct
0.000 0.000 0.000
0.250 0.750 0.500
0.750 0.250 0.500
0.279 0.279 0.000
0.721 0.721 0.000
0.500 0.500 0.000
```